1.
# ZrScBeCo2 (PBE, optimized geometry)
# Size of the total moment in Bohr magnetons per cell: 0.8
# DFT formation energy in eV per atom: 0.87
# Space group: P4/mmm
# DOS at the Fermi energy in states/eV/f.u.: 5.1
data_ZrScBeCo2
_cell_length_a 4.276
_cell_length_b 4.566
_cell_length_c 4.276
_cell_angle_alpha 90.00
_cell_angle_beta 90.00
_cell_angle_gamma 90.00
_symmetry_space_group_name_H-M 'P 1'
_symmetry_Int_Tables_number 1
loop_
_symmetry_equiv_pos_as_xyz
'x,y,z'
loop_
_atom_site_label
_atom_site_fract_x
_atom_site_fract_y
_atom_site_fract_z
Sc1 0.000 0.000 0.000
Be1 0.000 0.500 0.000
Co1 0.000 0.000 0.500
Co2 0.500 0.000 0.000
Zr1 0.500 0.500 0.500

=====

2.
# ZrSIN2 (PBE, optimized geometry)
# Size of the total moment in Bohr magnetons per cell: 0.0
# Energy relative to the lowest polymorph listed for this composition in eV per atom: 1.001
# Space group: P4/mmm
# DOS at the Fermi energy in states/eV/f.u.: 2.2
# Formation energy without anion corrections in meV/atom: 1543.2
data_ZrSIN2
_cell_length_a 4.039
_cell_length_b 4.039
_cell_length_c 4.881
_cell_angle_alpha 90.00
_cell_angle_beta 90.00
_cell_angle_gamma 90.00
_symmetry_space_group_name_H-M 'P 1'
_symmetry_Int_Tables_number 1
loop_
_symmetry_equiv_pos_as_xyz
'x,y,z'
loop_
_atom_site_label
_atom_site_fract_x
_atom_site_fract_y
_atom_site_fract_z
I1 0.000 0.000 0.500
S1 0.000 0.000 0.000
Zr1 0.500 0.500 0.500
N1 0.000 0.500 0.000
N2 0.500 0.000 0.000

=====

- Among the records above, which one has the lowest size of the total moment?
  ZrSIN2